Computed, not measured: a geometry-optimized Tm2ScPb structure at the PBE-GGA level of DFT.

Properties
Formation enthalpy at 0 K   63 meV per atom
Space-group type   No. 166
Total magnetic moment   0.0 μB per formula unit

a b c (Å): 3.445 3.445 11.755
angles (deg): 81.57 81.57 60.00
Fractional coordinates of all 4 atoms:
Tm 0.091 0.091 0.727
Tm 0.909 0.909 0.273
Pb 0.000 0.000 0.000
Sc 0.500 0.500 0.500



Computed, not measured: a geometry-optimized BaNa2MoN structure at the PBE-GGA level of DFT.

Properties
Space-group type   No. 123
Total magnetic moment   4.4 μB per formula unit
Energy relative to the elements, uncorrected   11.91 eV/f.u.

a b c (Å): 6.877 5.300 6.877
angles (deg): 90.00 90.00 90.00
Site moments in Bohr magnetons follow the coordinates.
Fractional coordinates of all 5 atoms:
Na 0.500 0.000 0.000  -0.04
Na 0.000 0.000 0.500  -0.03
Mo 0.000 0.500 0.000  2.10
Ba 0.000 0.000 0.000  -0.11
N 0.500 0.500 0.500  1.64



Computed, not measured: a geometry-optimized LaPmAu structure at the PBE-GGA level of DFT.

Properties
Formation enthalpy at 0 K   -368 meV per atom
Space-group type   No. 216
Total magnetic moment   0.0 μB per formula unit

a b c (Å): 5.167 5.167 5.167
angles (deg): 60.00 60.00 60.00
Fractional coordinates of all 3 atoms:
La 0.500 0.500 0.500
Pm 0.000 0.000 0.000
Au 0.250 0.250 0.250



Computed, not measured: a geometry-optimized BaSrTlSn structure at the PBE-GGA level of DFT.

Properties
Formation enthalpy at 0 K   -536 meV per atom
Space-group type   No. 38
Total magnetic moment   0.0 μB per formula unit

a b c (Å): 5.033 4.842 6.883
angles (deg): 90.00 111.44 90.00
Fractional coordinates of all 4 atoms:
Sn 0.578 0.500 0.156
Tl 0.428 0.000 0.856
Sr 0.134 0.000 0.268
Ba 0.860 0.500 0.720



Please write out number 4 again, unchanged.
Computed, not measured: a geometry-optimized BaSrTlSn structure at the PBE-GGA level of DFT.

Properties
Formation enthalpy at 0 K   -536 meV per atom
Space-group type   No. 38
Total magnetic moment   0.0 μB per formula unit

a b c (Å): 5.033 4.842 6.883
angles (deg): 90.00 111.44 90.00
Fractional coordinates of all 4 atoms:
Sn 0.578 0.500 0.156
Tl 0.428 0.000 0.856
Sr 0.134 0.000 0.268
Ba 0.860 0.500 0.720



What did the third record say?
Computed, not measured: a geometry-optimized LaPmAu structure at the PBE-GGA level of DFT.

Properties
Formation enthalpy at 0 K   -368 meV per atom
Space-group type   No. 216
Total magnetic moment   0.0 μB per formula unit

a b c (Å): 5.167 5.167 5.167
angles (deg): 60.00 60.00 60.00
Fractional coordinates of all 3 atoms:
La 0.500 0.500 0.500
Pm 0.000 0.000 0.000
Au 0.250 0.250 0.250



What is the total magnetic moment in the second record?
4.4 μB per formula unit